[1]
# Ba2BiAuS6, optimized geometry, DFT GGA-PBE
# Volume = 264.4 Å³/f.u.
# DFT total energy = -171.10 eV/cell
data_Ba2BiAuS6
_chemical_formula_sum 'Ba8 Bi4 Au4 S24'
_symmetry_space_group_name_H-M 'F m -3 m'
_symmetry_Int_Tables_number 225
_symmetry_space_group_name_Hall '-F 4 2 3'
_cell_length_a 10.189
_cell_length_b 10.189
_cell_length_c 10.189
_cell_angle_alpha 90.00
_cell_angle_beta 90.00
_cell_angle_gamma 90.00
loop_
_atom_site_label
_atom_site_type_symbol
_atom_site_fract_x
_atom_site_fract_y
_atom_site_fract_z
Ba1 Ba 0.250 0.250 0.250
Bi1 Bi 0.000 0.000 0.000
Au1 Au 0.000 0.000 0.500
S1 S 0.000 0.000 0.260



[2]
# BaBiSbAu2, optimized geometry, DFT GGA-PBE
# Volume = 141.9 Å³/f.u.
# DFT total energy = -39.15 eV/cell
data_BaBiSbAu2
_chemical_formula_sum 'Ba2 Bi2 Sb2 Au4'
_symmetry_space_group_name_H-M 'P 4/n m m'
_symmetry_Int_Tables_number 129
_cell_length_a 4.924
_cell_length_b 4.924
_cell_length_c 11.704
_cell_angle_alpha 90.00
_cell_angle_beta 90.00
_cell_angle_gamma 90.00
loop_
_symmetry_equiv_pos_as_xyz
'x,y,z'
'-x,-y,-z'
'-y+1/2,x,z'
'y+1/2,-x,-z'
'-x+1/2,-y+1/2,z'
'x+1/2,y+1/2,-z'
'y,-x+1/2,z'
'-y,x+1/2,-z'
'x+1/2,-y,-z'
'-x+1/2,y,z'
'-y,-x,-z'
'y,x,z'
'-x,y+1/2,-z'
'x,-y+1/2,z'
'y+1/2,x+1/2,-z'
'-y+1/2,-x+1/2,z'
loop_
_atom_site_label
_atom_site_type_symbol
_atom_site_fract_x
_atom_site_fract_y
_atom_site_fract_z
Ba1 Ba 0.250 0.250 0.231
Bi1 Bi 0.250 0.750 0.500
Sb1 Sb 0.250 0.250 0.878
Au1 Au 0.250 0.250 0.648
Au2 Au 0.250 0.750 0.000



[3]
# BaBiSbAu2, optimized geometry, DFT GGA-PBE
# Volume = 143.8 Å³/f.u.
# DFT total energy = -38.75 eV/cell
data_BaBiSbAu2
_chemical_formula_sum 'Ba2 Bi2 Sb2 Au4'
_symmetry_space_group_name_H-M 'P 1 21/m 1'
_symmetry_Int_Tables_number 11
_cell_length_a 5.157
_cell_length_b 4.938
_cell_length_c 11.303
_cell_angle_alpha 90.00
_cell_angle_beta 92.06
_cell_angle_gamma 90.00
loop_
_symmetry_equiv_pos_as_xyz
'x,y,z'
'-x,-y,-z'
'-x,y+1/2,-z'
'x,-y+1/2,z'
loop_
_atom_site_label
_atom_site_type_symbol
_atom_site_fract_x
_atom_site_fract_y
_atom_site_fract_z
Ba1 Ba 0.224 0.250 0.254
Bi1 Bi 0.321 0.250 0.876
Sb1 Sb 0.254 0.750 0.497
Au1 Au 0.170 0.750 0.999
Au2 Au 0.251 0.250 0.621



[4]
# BaBiSbAu2, optimized geometry, DFT GGA-PBE
# Volume = 143.0 Å³/f.u.
# DFT total energy = -39.21 eV/cell
data_BaBiSbAu2
_chemical_formula_sum 'Ba2 Bi2 Sb2 Au4'
_symmetry_space_group_name_H-M 'P 1 21/m 1'
_symmetry_Int_Tables_number 11
_cell_length_a 5.017
_cell_length_b 4.865
_cell_length_c 11.720
_cell_angle_alpha 90.00
_cell_angle_beta 91.19
_cell_angle_gamma 90.00
loop_
_symmetry_equiv_pos_as_xyz
'x,y,z'
'-x,-y,-z'
'-x,y+1/2,-z'
'x,-y+1/2,z'
loop_
_atom_site_label
_atom_site_type_symbol
_atom_site_fract_x
_atom_site_fract_y
_atom_site_fract_z
Ba1 Ba 0.231 0.250 0.236
Bi1 Bi 0.252 0.750 0.500
Sb1 Sb 0.308 0.250 0.882
Au1 Au 0.189 0.750 0.000
Au2 Au 0.252 0.250 0.651



[5]
# BaAuBr6, optimized geometry, DFT GGA-PBE
# Volume = 249.2 Å³/f.u.
# DFT total energy = -21.54 eV/cell
data_BaAuBr6
_chemical_formula_sum 'Ba1 Au1 Br6'
_symmetry_space_group_name_H-M 'P -1'
_symmetry_Int_Tables_number 2
_cell_length_a 6.415
_cell_length_b 6.471
_cell_length_c 6.576
_cell_angle_alpha 102.42
_cell_angle_beta 103.41
_cell_angle_gamma 102.30
loop_
_symmetry_equiv_pos_as_xyz
'x,y,z'
'-x,-y,-z'
loop_
_atom_site_label
_atom_site_type_symbol
_atom_site_fract_x
_atom_site_fract_y
_atom_site_fract_z
Ba1 Ba 0.000 0.000 0.000
Au1 Au 0.500 0.500 0.500
Br1 Br 0.169 0.546 0.216
Br2 Br 0.219 0.172 0.544
Br3 Br 0.453 0.795 0.833



[6]
# BaCd2Au4, optimized geometry, DFT GGA-PBE
# Volume = 159.1 Å³/f.u.
# DFT total energy = -39.83 eV/cell
data_BaCd2Au4
_chemical_formula_sum 'Ba2 Cd4 Au8'
_symmetry_space_group_name_H-M 'I 4/m m m'
_symmetry_Int_Tables_number 139
_symmetry_space_group_name_Hall '-I 4 2'
_cell_length_a 7.431
_cell_length_b 7.431
_cell_length_c 5.764
_cell_angle_alpha 90.00
_cell_angle_beta 90.00
_cell_angle_gamma 90.00
loop_
_atom_site_label
_atom_site_type_symbol
_atom_site_fract_x
_atom_site_fract_y
_atom_site_fract_z
Ba1 Ba 0.000 0.000 0.000
Cd1 Cd 0.000 0.500 0.250
Au1 Au 0.192 0.192 0.500